Density functional theory data (PBE-GGA) for crystalline HfNbCd at its relaxed geometry.

The calculation puts the energy above the most stable polymorph in this dataset at 285 meV/atom. For the formation energy from the elements, the calculation gives 250 meV/atom.

The space group is P3m1 (No. 156) and the conventional cell measures 5.0329, 5.0329 and 2.7813 Å, with angles of 90.00, 90.00 and 120.00 degrees. The inequivalent atoms are Hf at (0.0000, 0.0000, 0.0000), Nb at (0.3333, 0.6667, 0.4165) and Cd at (0.6667, 0.3333, 0.6734).


Density functional theory data (PBE-GGA) for crystalline SiP2Au2 at its relaxed geometry.

For the uncorrected formation energy, the calculation gives 2.02 eV/f.u.

The space group is P4/nmm (No. 129, origin choice 2) and the conventional cell measures 3.6259, 3.6259 and 14.6669 Å, with angles of 90.00, 90.00 and 90.00 degrees. The inequivalent atoms are Si at (0.2500, 0.2500, 0.1572), P at (0.2500, 0.2500, 0.7983), P at (0.2500, 0.7500, 0.5000), Au at (0.2500, 0.2500, 0.6396) and Au at (0.2500, 0.7500, 0.0000).


Density functional theory data (PBE-GGA) for crystalline NaYMn2Sn at its relaxed geometry.

For the formation energy from the elements, the calculation gives 1109 meV/atom.

The space group is P4/mmm (No. 123) and the conventional cell measures 4.8411, 4.8411 and 5.7455 Å, with angles of 90.00, 90.00 and 90.00 degrees. The inequivalent atoms are Na at (0.0000, 0.0000, 0.0000), Y at (0.5000, 0.5000, 0.5000), Mn at (0.0000, 0.5000, 0.5000) and Sn at (0.5000, 0.5000, 0.0000).


Density functional theory data (PBE-GGA) for crystalline GaBiPbF2 at its relaxed geometry.

For the uncorrected formation energy, the calculation gives -5.33 eV/f.u.

The space group is P4/mmm (No. 123) and the conventional cell measures 4.5775, 4.5775 and 6.4948 Å, with angles of 90.00, 90.00 and 90.00 degrees. The inequivalent atoms are Ga at (0.0000, 0.0000, 0.0000), Bi at (0.5000, 0.5000, 0.0000), Pb at (0.5000, 0.5000, 0.5000) and F at (0.0000, 0.5000, 0.5000).


Density functional theory data (PBE-GGA) for crystalline Pm5Mg2Cd at its relaxed geometry.

For the formation energy from the elements, the calculation gives -76 meV/atom.

The space group is I4mm (No. 107) and the conventional cell measures 7.7577, 7.7577 and 7.9350 Å, with angles of 90.00, 90.00 and 90.00 degrees. The inequivalent atoms are Pm at (0.0000, 0.0000, 0.0000), Pm at (0.2499, 0.2499, 0.2501), Mg at (0.0000, 0.5000, 0.9997) and Cd at (0.0000, 0.0000, 0.5008).


Density functional theory data (PBE-GGA) for crystalline Pr6As4Se at its relaxed geometry.

For the uncorrected formation energy, the calculation gives -13.26 eV/f.u.

The space group is R-3c (No. 167, hexagonal axes) and the conventional cell measures 12.0127, 12.0127 and 15.0311 Å, with angles of 90.00, 90.00 and 120.00 degrees. The inequivalent atoms are Pr at (0.0257, 0.1983, 0.3825), As at (0.0000, 0.0000, 0.2500), As at (0.0000, 0.3850, 0.2500) and Se at (0.0000, 0.0000, 0.0000).


Density functional theory data (PBE-GGA) for crystalline TbMgAl3 at its relaxed geometry.

For the formation energy from the elements, the calculation gives -275 meV/atom.

The space group is Cmcm (No. 63) and the conventional cell measures 3.4272, 26.8051 and 4.5318 Å, with angles of 90.00, 90.00 and 90.00 degrees. The inequivalent atoms are Tb at (0.0000, 0.0743, 0.2500), Mg at (0.0000, 0.2159, 0.7500), Al at (0.0000, 0.3226, 0.7500), Al at (0.0000, 0.3756, 0.2500) and Al at (0.0000, 0.4753, 0.2500).


Density functional theory data (PBE-GGA) for crystalline Cu2IrPt at its relaxed geometry.

The calculation puts the energy above the most stable polymorph in this dataset at 122 meV/atom. For the formation energy from the elements, the calculation gives 80 meV/atom.

The space group is I-4m2 (No. 119) and the conventional cell measures 3.8161, 3.8161 and 7.5367 Å, with angles of 90.00, 90.00 and 90.00 degrees. The inequivalent atoms are Cu at (0.0000, 0.0000, 0.0000), Cu at (0.0000, 0.5000, 0.2500), Ir at (0.0000, 0.5000, 0.7500) and Pt at (0.0000, 0.0000, 0.5000).


Density functional theory data (PBE-GGA) for crystalline Na6Tl2Au at its relaxed geometry.

The calculation puts the energy above the most stable polymorph in this dataset at 0 meV/atom. For the formation energy from the elements, the calculation gives -134 meV/atom.

The space group is C2/m (No. 12) and the conventional cell measures 9.2464, 5.3308 and 9.8988 Å, with angles of 90.00, 90.01 and 90.00 degrees. The inequivalent atoms are Na at (0.0015, 0.0000, 0.1738), Na at (0.1657, 0.5000, 0.5929), Na at (0.1689, 0.5000, 0.2675), Tl at (0.1659, 0.5000, 0.9343) and Au at (0.0000, 0.0000, 0.5000).


What did the fifth record say?
Density functional theory data (PBE-GGA) for crystalline Pm5Mg2Cd at its relaxed geometry.

For the formation energy from the elements, the calculation gives -76 meV/atom.

The space group is I4mm (No. 107) and the conventional cell measures 7.7577, 7.7577 and 7.9350 Å, with angles of 90.00, 90.00 and 90.00 degrees. The inequivalent atoms are Pm at (0.0000, 0.0000, 0.0000), Pm at (0.2499, 0.2499, 0.2501), Mg at (0.0000, 0.5000, 0.9997) and Cd at (0.0000, 0.0000, 0.5008).